No. 1
# Pa2Mn7 | Alexandria via LeMat-Bulk | PBE | optimized geometry
# * symmetry: R-3m, No. 166
# * DOS at the Fermi energy: 29.6 states/eV per cell
# * crystal system: trigonal
# * raw total energy: -9.23 eV per atom
# * calculated formation energy: 1 kJ per mole of atoms
data_Pa2Mn7
_chemical_formula_sum 'Pa4 Mn14'
_cell_length_a 13.194
_cell_length_b 13.194
_cell_length_c 13.194
_cell_angle_alpha 20.86
_cell_angle_beta 20.86
_cell_angle_gamma 20.86
_symmetry_space_group_name_H-M 'P 1'
_symmetry_Int_Tables_number 1
loop_
_symmetry_equiv_pos_as_xyz
'x,y,z'
loop_
_atom_site_label
_atom_site_type_symbol
_atom_site_fract_x
_atom_site_fract_y
_atom_site_fract_z
Pa1 Pa 0.053 0.053 0.053
Pa2 Pa 0.151 0.151 0.151
Pa3 Pa 0.849 0.849 0.849
Pa4 Pa 0.947 0.947 0.947
Mn1 Mn 0.000 0.500 0.500
Mn2 Mn 0.105 0.610 0.610
Mn3 Mn 0.280 0.280 0.280
Mn4 Mn 0.388 0.388 0.388
Mn5 Mn 0.390 0.390 0.895
Mn6 Mn 0.390 0.895 0.390
Mn7 Mn 0.500 0.000 0.500
Mn8 Mn 0.500 0.500 0.000
Mn9 Mn 0.500 0.500 0.500
Mn10 Mn 0.610 0.105 0.610
Mn11 Mn 0.610 0.610 0.105
Mn12 Mn 0.612 0.612 0.612
Mn13 Mn 0.720 0.720 0.720
Mn14 Mn 0.895 0.390 0.390

=====

No. 2
# Sm5PuTl6 | Alexandria via LeMat-Bulk | PBE | optimized geometry
# * symmetry: Immm, No. 71
# * DOS at the Fermi energy: 16.6 states/eV per cell
# * crystal system: orthorhombic
# * raw total energy: -4.65 eV per atom
# * calculated formation energy: -29 kJ per mole of atoms
data_Sm5PuTl6
_chemical_formula_sum 'Sm5 Pu1 Tl6'
_cell_length_a 9.458
_cell_length_b 9.458
_cell_length_c 9.458
_cell_angle_alpha 146.52
_cell_angle_beta 131.72
_cell_angle_gamma 60.03
_symmetry_space_group_name_H-M 'P 1'
_symmetry_Int_Tables_number 1
loop_
_symmetry_equiv_pos_as_xyz
'x,y,z'
loop_
_atom_site_label
_atom_site_type_symbol
_atom_site_fract_x
_atom_site_fract_y
_atom_site_fract_z
Sm1 Sm 0.000 0.000 0.000
Sm2 Sm 0.169 0.669 0.500
Sm3 Sm 0.339 0.339 0.000
Sm4 Sm 0.661 0.661 0.000
Sm5 Sm 0.831 0.331 0.500
Pu1 Pu 0.500 0.000 0.500
Tl1 Tl 0.078 0.832 0.246
Tl2 Tl 0.242 0.500 0.742
Tl3 Tl 0.415 0.168 0.246
Tl4 Tl 0.585 0.832 0.754
Tl5 Tl 0.758 0.500 0.258
Tl6 Tl 0.922 0.168 0.754

=====

Look up the calculated formation energy of the first one. 1 kJ per mole of atoms

=====

Copy entry 2 word for word.
# Sm5PuTl6 | Alexandria via LeMat-Bulk | PBE | optimized geometry
# * symmetry: Immm, No. 71
# * DOS at the Fermi energy: 16.6 states/eV per cell
# * crystal system: orthorhombic
# * raw total energy: -4.65 eV per atom
# * calculated formation energy: -29 kJ per mole of atoms
data_Sm5PuTl6
_chemical_formula_sum 'Sm5 Pu1 Tl6'
_cell_length_a 9.458
_cell_length_b 9.458
_cell_length_c 9.458
_cell_angle_alpha 146.52
_cell_angle_beta 131.72
_cell_angle_gamma 60.03
_symmetry_space_group_name_H-M 'P 1'
_symmetry_Int_Tables_number 1
loop_
_symmetry_equiv_pos_as_xyz
'x,y,z'
loop_
_atom_site_label
_atom_site_type_symbol
_atom_site_fract_x
_atom_site_fract_y
_atom_site_fract_z
Sm1 Sm 0.000 0.000 0.000
Sm2 Sm 0.169 0.669 0.500
Sm3 Sm 0.339 0.339 0.000
Sm4 Sm 0.661 0.661 0.000
Sm5 Sm 0.831 0.331 0.500
Pu1 Pu 0.500 0.000 0.500
Tl1 Tl 0.078 0.832 0.246
Tl2 Tl 0.242 0.500 0.742
Tl3 Tl 0.415 0.168 0.246
Tl4 Tl 0.585 0.832 0.754
Tl5 Tl 0.758 0.500 0.258
Tl6 Tl 0.922 0.168 0.754